(1)
# ZnFeNiPt (PBE, optimized geometry)
# Calculated formation energy in eV/atom: -0.21
# Density of states at the Fermi level in states/eV/f.u.: 3.698
data_ZnFeNiPt
_cell_length_a 5.970
_cell_length_b 5.970
_cell_length_c 5.970
_cell_angle_alpha 90.00
_cell_angle_beta 90.00
_cell_angle_gamma 90.00
_symmetry_space_group_name_H-M 'F -4 3 m'
_symmetry_Int_Tables_number 216
_symmetry_space_group_name_Hall 'F -4 2 3'
loop_
_atom_site_label
_atom_site_type_symbol
_atom_site_fract_x
_atom_site_fract_y
_atom_site_fract_z
Zn1 Zn 0.000 0.000 0.000
Fe1 Fe 0.000 0.000 0.500
Ni1 Ni 0.250 0.250 0.250
Pt1 Pt 0.250 0.250 0.750


(2)
# PrDyAg (PBE, optimized geometry)
# Calculated formation energy in eV/atom: -0.16
# Density of states at the Fermi level in states/eV/f.u.: 3.818
# Offset from the most stable computed form in eV/f.u.: 0.021
data_PrDyAg
_cell_length_a 3.655
_cell_length_b 3.655
_cell_length_c 12.923
_cell_angle_alpha 90.00
_cell_angle_beta 90.00
_cell_angle_gamma 90.00
_symmetry_space_group_name_H-M 'I 4 m m'
_symmetry_Int_Tables_number 107
_symmetry_space_group_name_Hall 'I 4 -2'
loop_
_atom_site_label
_atom_site_type_symbol
_atom_site_fract_x
_atom_site_fract_y
_atom_site_fract_z
Pr1 Pr 0.000 0.000 0.000
Dy1 Dy 0.000 0.000 0.296
Ag1 Ag 0.000 0.000 0.664


(3)
# Sr2TlAg4Sn3 (PBE, optimized geometry)
# Calculated formation energy in eV/atom: -0.30
# Density of states at the Fermi level in states/eV/f.u.: 5.925
data_Sr2TlAg4Sn3
_cell_length_a 4.731
_cell_length_b 4.731
_cell_length_c 11.826
_cell_angle_alpha 90.00
_cell_angle_beta 90.00
_cell_angle_gamma 90.00
_symmetry_space_group_name_H-M 'P -4 m 2'
_symmetry_Int_Tables_number 115
_symmetry_space_group_name_Hall 'P -4 -2'
loop_
_atom_site_label
_atom_site_type_symbol
_atom_site_fract_x
_atom_site_fract_y
_atom_site_fract_z
Sr1 Sr 0.000 0.500 0.239
Tl1 Tl 0.000 0.000 0.500
Ag1 Ag 0.000 0.000 0.000
Ag2 Ag 0.000 0.500 0.642
Ag3 Ag 0.500 0.500 0.000
Sn1 Sn 0.000 0.500 0.872
Sn2 Sn 0.500 0.500 0.500


(4)
# Ca2HgPt (PBE, optimized geometry)
# Calculated formation energy in eV/atom: -0.42
# Density of states at the Fermi level in states/eV/f.u.: 2.503
data_Ca2HgPt
_cell_length_a 7.969
_cell_length_b 7.969
_cell_length_c 6.975
_cell_angle_alpha 90.00
_cell_angle_beta 90.00
_cell_angle_gamma 90.00
_symmetry_space_group_name_H-M 'I -4 2 d'
_symmetry_Int_Tables_number 122
_symmetry_space_group_name_Hall 'I -4 2bw'
loop_
_atom_site_label
_atom_site_type_symbol
_atom_site_fract_x
_atom_site_fract_y
_atom_site_fract_z
Ca1 Ca 0.215 0.750 0.125
Hg1 Hg 0.000 0.000 0.500
Pt1 Pt 0.000 0.000 0.000


(5)
# PmPuGeSb (PBE, optimized geometry)
# Raw formation energy in eV per atom: -0.5224
# Density of states at the Fermi level in states/eV/f.u.: 12.772
data_PmPuGeSb
_cell_length_a 7.463
_cell_length_b 7.463
_cell_length_c 7.463
_cell_angle_alpha 90.00
_cell_angle_beta 90.00
_cell_angle_gamma 90.00
_symmetry_space_group_name_H-M 'F -4 3 m'
_symmetry_Int_Tables_number 216
_symmetry_space_group_name_Hall 'F -4 2 3'
loop_
_atom_site_label
_atom_site_type_symbol
_atom_site_fract_x
_atom_site_fract_y
_atom_site_fract_z
Pm1 Pm 0.000 0.000 0.000
Pu1 Pu 0.000 0.000 0.500
Ge1 Ge 0.250 0.250 0.250
Sb1 Sb 0.250 0.250 0.750


(6)
# Sr3U2PaAs6 (PBE, optimized geometry)
# Calculated formation energy in eV/atom: -1.02
# Density of states at the Fermi level in states/eV/f.u.: 17.396
data_Sr3U2PaAs6
_cell_length_a 7.353
_cell_length_b 12.736
_cell_length_c 7.547
_cell_angle_alpha 90.00
_cell_angle_beta 108.95
_cell_angle_gamma 90.00
_symmetry_space_group_name_H-M 'C 1 2/m 1'
_symmetry_Int_Tables_number 12
_symmetry_space_group_name_Hall '-C 2y'
loop_
_atom_site_label
_atom_site_type_symbol
_atom_site_fract_x
_atom_site_fract_y
_atom_site_fract_z
Sr1 Sr 0.000 0.000 0.000
Sr2 Sr 0.000 0.333 0.000
U1 U 0.000 0.167 0.500
Pa1 Pa 0.000 0.500 0.500
As1 As 0.238 0.334 0.718
As2 As 0.241 0.000 0.718


| no. | raw total energy (eV per atom) |
| --- | --- |
| 1 | -5.598 |
| 2 | -4.238 |
| 3 | -3.213 |
| 4 | -3.009 |
| 5 | -7.478 |
| 6 | -6.439 |